Entry 1:
VASP calculation (PBE) on a relaxed Ca2NbAgTe crystal.

As for the energy: -0.12648 Ha/atom. The crystal system is tetragonal. The value obtained for the spin magnetization is 4.73 Bohr magnetons per cell. Its volume is 35.8 A^3/atom.

Cell and atoms, written as CIF:
```
data_Ca2NbAgTe
_symmetry_space_group_name_H-M 'P 4/m m m'
_symmetry_Int_Tables_number 123
_symmetry_space_group_name_Hall '-P 4 2'
_cell_length_a 5.834
_cell_length_b 5.834
_cell_length_c 5.264
_cell_angle_alpha 90.00
_cell_angle_beta 90.00
_cell_angle_gamma 90.00
loop_
_atom_site_label
_atom_site_fract_x
_atom_site_fract_y
_atom_site_fract_z
Ca1 0.000 0.500 0.000
Nb1 0.000 0.000 0.500
Ag1 0.500 0.500 0.500
Te1 0.500 0.500 0.000
```

Entry 2:
VASP calculation (PBE) on a relaxed RbLi2Tl crystal.

The formation enthalpy at 0 K comes out at -0.006 eV per atom. As for the energy: -0.06603 Ha/atom. The crystal system is tetragonal. The value obtained for the spin magnetization is 0.00 Bohr magnetons per cell. Its volume is 32.3 A^3/atom.

Cell and atoms, written as CIF:
```
data_RbLi2Tl
_symmetry_space_group_name_H-M 'P 4/m m m'
_symmetry_Int_Tables_number 123
_symmetry_space_group_name_Hall '-P 4 2'
_cell_length_a 3.878
_cell_length_b 3.878
_cell_length_c 8.591
_cell_angle_alpha 90.00
_cell_angle_beta 90.00
_cell_angle_gamma 90.00
loop_
_atom_site_label
_atom_site_fract_x
_atom_site_fract_y
_atom_site_fract_z
Rb1 0.000 0.000 0.000
Li1 0.500 0.500 0.342
Tl1 0.000 0.000 0.500
```

Entry 3:
VASP calculation (PBE) on a relaxed TaRu2W crystal.

The formation enthalpy at 0 K comes out at -0.074 eV per atom. As for the energy: -0.40104 Ha/atom. The crystal system is monoclinic. The value obtained for the spin magnetization is 0.00 Bohr magnetons per cell. Its volume is 15.6 A^3/atom.

Cell and atoms, written as CIF:
```
data_TaRu2W
_symmetry_space_group_name_H-M 'P 1 2/m 1'
_symmetry_Int_Tables_number 10
_cell_length_a 2.925
_cell_length_b 3.629
_cell_length_c 5.862
_cell_angle_alpha 90.00
_cell_angle_beta 90.37
_cell_angle_gamma 90.00
loop_
_symmetry_equiv_pos_as_xyz
'x,y,z'
'-x,-y,-z'
'-x,y,-z'
'x,-y,z'
loop_
_atom_site_label
_atom_site_fract_x
_atom_site_fract_y
_atom_site_fract_z
Ta1 0.000 0.000 0.000
Ru1 0.500 0.500 0.254
W1 0.000 0.000 0.500
```

Entry 4:
VASP calculation (PBE) on a relaxed UTiInO6 crystal.

As for the energy: -0.30727 Ha/atom. The crystal system is trigonal. The value obtained for the spin magnetization is 1.97 Bohr magnetons per cell. Its volume is 13.0 A^3/atom.

Cell and atoms, written as CIF:
```
data_UTiInO6
_symmetry_space_group_name_H-M 'P -3 1 c'
_symmetry_Int_Tables_number 163
_symmetry_space_group_name_Hall '-P 3 2c'
_cell_length_a 5.4318
_cell_length_b 5.4318
_cell_length_c 9.1518
_cell_angle_alpha 90.00
_cell_angle_beta 90.00
_cell_angle_gamma 120.00
loop_
_atom_site_label
_atom_site_fract_x
_atom_site_fract_y
_atom_site_fract_z
U1 0.3333 0.6667 0.2500
Ti1 0.3333 0.6667 0.7500
In1 0.0000 0.0000 0.0000
O1 0.0212 0.3574 0.6340
```

Entry 5:
VASP calculation (PBE) on a relaxed HfIr2F crystal.

As for the energy: -0.28242 Ha/atom. The crystal system is cubic. The value obtained for the spin magnetization is 0.00 Bohr magnetons per cell. Its volume is 15.4 A^3/atom.

Cell and atoms, written as CIF:
```
data_HfIr2F
_symmetry_space_group_name_H-M 'F m -3 m'
_symmetry_Int_Tables_number 225
_symmetry_space_group_name_Hall '-F 4 2 3'
_cell_length_a 6.270
_cell_length_b 6.270
_cell_length_c 6.270
_cell_angle_alpha 90.00
_cell_angle_beta 90.00
_cell_angle_gamma 90.00
loop_
_atom_site_label
_atom_site_fract_x
_atom_site_fract_y
_atom_site_fract_z
Hf1 0.000 0.000 0.000
Ir1 0.250 0.250 0.250
F1 0.000 0.000 0.500
```

Entry 6:
VASP calculation (PBE) on a relaxed BaYSb2 crystal.

As for the energy: -0.18496 Ha/atom. The crystal system is orthorhombic. The value obtained for the spin magnetization is 0.14 Bohr magnetons per cell. Its volume is 31.6 A^3/atom.

Cell and atoms, written as CIF:
```
data_BaYSb2
_symmetry_space_group_name_H-M 'P m m m'
_symmetry_Int_Tables_number 47
_cell_length_a 3.506
_cell_length_b 4.183
_cell_length_c 8.621
_cell_angle_alpha 90.00
_cell_angle_beta 90.00
_cell_angle_gamma 90.00
loop_
_symmetry_equiv_pos_as_xyz
'x,y,z'
'-x,-y,-z'
'-x,-y,z'
'x,y,-z'
'x,-y,-z'
'-x,y,z'
'-x,y,-z'
'x,-y,z'
loop_
_atom_site_label
_atom_site_fract_x
_atom_site_fract_y
_atom_site_fract_z
Ba1 0.000 0.000 0.000
Y1 0.000 0.000 0.500
Sb1 0.500 0.500 0.280
```

Entry 7:
VASP calculation (PBE) on a relaxed TbYGe crystal.

The formation enthalpy at 0 K comes out at -0.385 eV per atom. As for the energy: -0.20663 Ha/atom. The crystal system is trigonal. The value obtained for the spin magnetization is 0.00 Bohr magnetons per cell. Its volume is 26.6 A^3/atom.

Cell and atoms, written as CIF:
```
data_TbYGe
_symmetry_space_group_name_H-M 'P 3 m 1'
_symmetry_Int_Tables_number 156
_cell_length_a 4.7893
_cell_length_b 4.7893
_cell_length_c 4.0159
_cell_angle_alpha 90.00
_cell_angle_beta 90.00
_cell_angle_gamma 120.00
loop_
_symmetry_equiv_pos_as_xyz
'x,y,z'
'-y,x-y,z'
'-x+y,-x,z'
'-y,-x,z'
'-x+y,y,z'
'x,x-y,z'
loop_
_atom_site_label
_atom_site_fract_x
_atom_site_fract_y
_atom_site_fract_z
Tb1 0.0000 0.0000 0.0000
Y1 0.6667 0.3333 0.5251
Ge1 0.3333 0.6667 0.2680
```

Entry 8:
VASP calculation (PBE) on a relaxed Sm3HgGe2 crystal.

The formation enthalpy at 0 K comes out at -0.581 eV per atom. As for the energy: -0.16648 Ha/atom. The crystal system is trigonal. The value obtained for the spin magnetization is 0.00 Bohr magnetons per cell. Its volume is 28.3 A^3/atom.

Cell and atoms, written as CIF:
```
data_Sm3HgGe2
_symmetry_space_group_name_H-M 'R -3 c'
_symmetry_Int_Tables_number 167
_symmetry_space_group_name_Hall '-R 3 2"c'
_cell_length_a 7.3881
_cell_length_b 7.3881
_cell_length_c 21.5152
_cell_angle_alpha 90.00
_cell_angle_beta 90.00
_cell_angle_gamma 120.00
loop_
_atom_site_label
_atom_site_fract_x
_atom_site_fract_y
_atom_site_fract_z
Sm1 0.0000 0.3031 0.2500
Hg1 0.0000 0.0000 0.0000
Ge1 0.0000 0.0000 0.1578
```

Entry 9:
VASP calculation (PBE) on a relaxed CsLaTe2O6 crystal.

As for the energy: -0.22131 Ha/atom. The crystal system is monoclinic. The value obtained for the spin magnetization is 0.00 Bohr magnetons per cell. Its volume is 20.4 A^3/atom.

Cell and atoms, written as CIF:
```
data_CsLaTe2O6
_symmetry_space_group_name_H-M 'C 1 2/c 1'
_symmetry_Int_Tables_number 15
_cell_length_a 9.271
_cell_length_b 11.434
_cell_length_c 8.030
_cell_angle_alpha 90.00
_cell_angle_beta 106.13
_cell_angle_gamma 90.00
loop_
_symmetry_equiv_pos_as_xyz
'x,y,z'
'-x,-y,-z'
'-x,y,-z+1/2'
'x,-y,z+1/2'
'x+1/2,y+1/2,z'
'-x+1/2,-y+1/2,-z'
'-x+1/2,y+1/2,-z+1/2'
'x+1/2,-y+1/2,z+1/2'
loop_
_atom_site_label
_atom_site_fract_x
_atom_site_fract_y
_atom_site_fract_z
Cs1 0.000 0.175 0.250
La1 0.000 0.435 0.750
Te1 0.203 0.115 0.823
O1 0.086 0.393 0.064
O2 0.178 0.272 0.748
O3 0.231 0.034 0.629
```

Entry 10:
VASP calculation (PBE) on a relaxed Tl7HgPb4 crystal.

The formation enthalpy at 0 K comes out at 0.019 eV per atom. As for the energy: -0.09639 Ha/atom. The crystal system is trigonal. The value obtained for the spin magnetization is 0.00 Bohr magnetons per cell. Its volume is 30.6 A^3/atom.

Cell and atoms, written as CIF:
```
data_Tl7HgPb4
_symmetry_space_group_name_H-M 'P -3 m 1'
_symmetry_Int_Tables_number 164
_symmetry_space_group_name_Hall '-P 3 2"'
_cell_length_a 5.5190
_cell_length_b 5.5190
_cell_length_c 13.9398
_cell_angle_alpha 90.00
_cell_angle_beta 90.00
_cell_angle_gamma 120.00
loop_
_atom_site_label
_atom_site_fract_x
_atom_site_fract_y
_atom_site_fract_z
Tl1 0.0000 0.0000 0.0000
Tl2 0.0000 0.0000 0.2545
Tl3 0.3333 0.6667 0.1735
Tl4 0.3333 0.6667 0.4267
Hg1 0.0000 0.0000 0.5000
Pb1 0.3333 0.6667 0.6709
Pb2 0.3333 0.6667 0.9159
```